Entry 1:
# Pm2GaGe3 (PBE-GGA, optimized geometry)
data_Pm2GaGe3
_cell_length_a 8.1722
_cell_length_b 8.4402
_cell_length_c 15.6909
_cell_angle_alpha 90.00
_cell_angle_beta 90.00
_cell_angle_gamma 90.00
_symmetry_space_group_name_H-M 'F m m m'
_symmetry_Int_Tables_number 69
_symmetry_space_group_name_Hall '-F 2 2'
loop_
_atom_site_label
_atom_site_fract_x
_atom_site_fract_y
_atom_site_fract_z
Pm1 0.2462 0.0000 0.0000
Pm2 0.2500 0.2500 0.2500
Ga1 0.0000 0.0000 0.3348
Ge1 0.0000 0.0000 0.1751
Ge2 0.0000 0.2494 0.0831
# Density: 7.090 g/cm³
# ΔE to the lowest computed polymorph: 2.9 meV/atom


Entry 2:
# Pm4GaGe (PBE-GGA, optimized geometry)
data_Pm4GaGe
_cell_length_a 7.2476
_cell_length_b 7.2579
_cell_length_c 7.2637
_cell_angle_alpha 90.00
_cell_angle_beta 90.08
_cell_angle_gamma 90.00
_symmetry_space_group_name_H-M 'P 1 21/c 1'
_symmetry_Int_Tables_number 14
_symmetry_space_group_name_Hall '-P 2ybc'
loop_
_atom_site_label
_atom_site_fract_x
_atom_site_fract_y
_atom_site_fract_z
Pm1 0.1675 0.1695 0.1715
Pm2 0.3308 0.6673 0.1656
Ga1 0.5000 0.0000 0.0000
Ge1 0.0000 0.0000 0.5000
# Density: 6.279 g/cm³
# ΔE to the lowest computed polymorph: 155.7 meV/atom


Entry 3:
# PmGa3Ge3 (PBE-GGA, optimized geometry)
data_PmGa3Ge3
_cell_length_a 6.9958
_cell_length_b 6.9958
_cell_length_c 6.9958
_cell_angle_alpha 90.00
_cell_angle_beta 90.00
_cell_angle_gamma 90.00
_symmetry_space_group_name_H-M 'P m -3 n'
_symmetry_Int_Tables_number 223
_symmetry_space_group_name_Hall '-P 4n 2 3'
loop_
_atom_site_label
_atom_site_fract_x
_atom_site_fract_y
_atom_site_fract_z
Pm1 0.0000 0.0000 0.0000
Ga1 0.0000 0.2500 0.5000
Ge1 0.0000 0.5000 0.2500
# Calculated total energy: -3.856 eV/atom
# Density: 5.549 g/cm³


Entry 4:
# Pm2GaGe3 (PBE-GGA, optimized geometry)
data_Pm2GaGe3
_cell_length_a 4.0761
_cell_length_b 4.2279
_cell_length_c 7.8368
_cell_angle_alpha 90.00
_cell_angle_beta 90.00
_cell_angle_gamma 90.00
_symmetry_space_group_name_H-M 'P m m 2'
_symmetry_Int_Tables_number 25
_symmetry_space_group_name_Hall 'P 2 -2'
loop_
_atom_site_label
_atom_site_fract_x
_atom_site_fract_y
_atom_site_fract_z
Pm1 0.0000 0.0000 0.0000
Pm2 0.0000 0.5000 0.4918
Ga1 0.5000 0.5000 0.8310
Ge1 0.5000 0.0000 0.3301
Ge2 0.5000 0.0000 0.6652
Ge3 0.5000 0.5000 0.1521
# Density: 7.102 g/cm³
# ΔE to the lowest computed polymorph: 0.0 meV/atom


Entry 5:
# Pm6Ga6Ge (PBE-GGA, optimized geometry)
data_Pm6Ga6Ge
_cell_length_a 6.0961
_cell_length_b 6.0961
_cell_length_c 10.2966
_cell_angle_alpha 90.00
_cell_angle_beta 90.00
_cell_angle_gamma 120.00
_symmetry_space_group_name_H-M 'P 6/m m m'
_symmetry_Int_Tables_number 191
_symmetry_space_group_name_Hall '-P 6 2'
loop_
_atom_site_label
_atom_site_fract_x
_atom_site_fract_y
_atom_site_fract_z
Pm1 0.0000 0.0000 0.2158
Pm2 0.3333 0.6667 0.0000
Pm3 0.3333 0.6667 0.5000
Ga1 0.0000 0.5000 0.2455
Ge1 0.0000 0.0000 0.5000
# Calculated total energy: -4.395 eV/atom
# Density: 6.820 g/cm³


Entry 6:
# Pm10Ga3Ge3 (PBE-GGA, optimized geometry)
data_Pm10Ga3Ge3
_cell_length_a 8.7594
_cell_length_b 8.7594
_cell_length_c 6.7963
_cell_angle_alpha 90.00
_cell_angle_beta 90.00
_cell_angle_gamma 120.00
_symmetry_space_group_name_H-M 'P -6 2 m'
_symmetry_Int_Tables_number 189
_symmetry_space_group_name_Hall 'P -6 -2'
loop_
_atom_site_label
_atom_site_fract_x
_atom_site_fract_y
_atom_site_fract_z
Pm1 0.0000 0.2468 0.0000
Pm2 0.0000 0.7592 0.5000
Pm3 0.3333 0.6667 0.2495
Ga1 0.0000 0.4024 0.5000
Ge1 0.0000 0.6063 0.0000
# Calculated total energy: -4.975 eV/atom
# Density: 6.902 g/cm³


Entry 7:
# Pm2GaGe (PBE-GGA, optimized geometry)
data_Pm2GaGe
_cell_length_a 6.0001
_cell_length_b 4.0900
_cell_length_c 8.6979
_cell_angle_alpha 90.00
_cell_angle_beta 108.08
_cell_angle_gamma 90.00
_symmetry_space_group_name_H-M 'P 1 21/m 1'
_symmetry_Int_Tables_number 11
_symmetry_space_group_name_Hall '-P 2yb'
loop_
_atom_site_label
_atom_site_fract_x
_atom_site_fract_y
_atom_site_fract_z
Pm1 0.2074 0.2500 0.4288
Pm2 0.2876 0.7500 0.0691
Ga1 0.3642 0.7500 0.7121
Ge1 0.1379 0.2500 0.7890
# Calculated total energy: -5.058 eV/atom
# Density: 7.076 g/cm³


Entry 8:
# PmGa3Ge (PBE-GGA, optimized geometry)
data_PmGa3Ge
_cell_length_a 6.1906
_cell_length_b 7.2481
_cell_length_c 5.6108
_cell_angle_alpha 90.00
_cell_angle_beta 123.12
_cell_angle_gamma 90.00
_symmetry_space_group_name_H-M 'C 1 m 1'
_symmetry_Int_Tables_number 8
_symmetry_space_group_name_Hall 'C -2y'
loop_
_atom_site_label
_atom_site_fract_x
_atom_site_fract_y
_atom_site_fract_z
Pm1 0.0000 0.0000 0.0000
Ga1 0.9996 0.2488 0.4992
Ga2 0.3657 0.0000 0.7298
Ge1 0.1295 0.5000 0.2615
# Calculated total energy: -4.008 eV/atom
# Density: 6.723 g/cm³